CsCuSN2 | PBE | optimized geometry

Results
* D(E_F): 5.38 states/eV/f.u.
* electronic total energy: -12.589 eV/cell
* raw formation energy: 2.628 eV per atom

Lattice parameters (Å, degrees): 4.3741 4.3741 6.5727 90.00 90.00 90.00
Each line ends with the local moment (μB).
Positions (direct):
Cs 0.0000 0.0000 0.0000  0.05
Cu 0.5000 0.5000 0.5000  0.12
N 0.0000 0.5000 0.0000  0.78
N 0.5000 0.0000 0.0000  0.78
S 0.0000 0.0000 0.5000  0.33